DFT (PBE-GGA) results for crystalline TePdAu3 at its relaxed geometry.

The structure in CIF format:
```
data_TePdAu3
_chemical_formula_sum 'Te1 Pd1 Au3'
_cell_length_a 5.020
_cell_length_b 5.020
_cell_length_c 5.020
_cell_angle_alpha 90.00
_cell_angle_beta 90.00
_cell_angle_gamma 90.00
_space_group_name_H-M_alt 'P m -3 m'
_space_group_IT_number 221
_space_group_name_Hall '-P 4 2 3'
loop_
_atom_site_label
_atom_site_type_symbol
_atom_site_fract_x
_atom_site_fract_y
_atom_site_fract_z
_atom_site_occupancy
Te1 Te 0.000 0.000 0.000 1
Pd1 Pd 0.500 0.500 0.500 1
Au1 Au 0.000 0.500 0.500 1
```

Output
Energy relative to the elements, uncorrected = 345 kJ/mol of formula units